Entry 1:
Here is a relaxed structure of NpAgOsO6 from the Alexandria database. Energies are from PBE-GGA.

Properties
Uncorrected energy (eV/cell): -141.403

Unit cell a=5.4195 b=5.4195 c=9.9737 alpha=90.00 beta=90.00 gamma=120.00
Space group P-31c (No. 163)
Asymmetric unit:
Np1 0.3333 0.6667 0.2500 [2 per cell]
Ag1 0.0000 0.0000 0.0000 [2 per cell]
Os1 0.3333 0.6667 0.7500 [2 per cell]
O1 0.0189 0.3717 0.6421 [12 per cell]

=====

Entry 2:
Here is a relaxed structure of NpAgPO6 from the Alexandria database. Energies are from PBE-GGA.

Properties
Uncorrected energy (eV/cell): -67.032

Unit cell a=5.1785 b=5.1785 c=5.1629 alpha=90.00 beta=90.00 gamma=120.00
Space group P312 (No. 149)
Asymmetric unit:
Np1 0.0000 0.0000 0.0000 [1 per cell]
Ag1 0.6667 0.3333 0.5000 [1 per cell]
P1 0.3333 0.6667 0.0000 [1 per cell]
O1 0.0640 0.3855 0.1913 [6 per cell]

=====

Entry 3:
Here is a relaxed structure of NpAgP2O8 from the Alexandria database. Energies are from PBE-GGA.

Properties
Uncorrected energy (eV/cell): -181.667

Unit cell a=8.908 b=6.056 c=6.033 alpha=90.00 beta=107.58 gamma=90.00
Space group C2/m (No. 12)
Asymmetric unit:
Np1 0.000 0.000 0.000 [2 per cell]
Ag1 0.000 0.500 0.500 [2 per cell]
P1 0.202 0.500 0.151 [4 per cell]
O1 0.116 0.296 0.217 [8 per cell]
O2 0.118 0.000 0.716 [4 per cell]
O3 0.203 0.500 0.897 [4 per cell]

=====

Entry 4:
Here is a relaxed structure of NpAgPb2O8 from the Alexandria database. Energies are from PBE-GGA.

Properties
Uncorrected energy (eV/cell): -78.839

Unit cell a=5.187 b=5.190 c=6.894 alpha=86.44 beta=86.39 gamma=87.05
Space group P-1 (No. 2)
Asymmetric unit:
Np1 0.000 0.000 0.000 [1 per cell]
Ag1 0.000 0.000 0.500 [1 per cell]
Pb1 0.466 0.466 0.258 [2 per cell]
O1 0.166 0.165 0.237 [2 per cell]
O2 0.201 0.199 0.819 [2 per cell]
O3 0.300 0.700 0.500 [2 per cell]
O4 0.302 0.696 0.000 [2 per cell]

=====

Entry 5:
Here is a relaxed structure of NpAgPbO6 from the Alexandria database. Energies are from PBE-GGA.

Properties
Uncorrected energy (eV/cell): -123.475

Unit cell a=5.6663 b=5.6663 c=9.8720 alpha=90.00 beta=90.00 gamma=120.00
Space group P-31c (No. 163)
Asymmetric unit:
Np1 0.3333 0.6667 0.2500 [2 per cell]
Ag1 0.0000 0.0000 0.0000 [2 per cell]
Pb1 0.3333 0.6667 0.7500 [2 per cell]
O1 0.0264 0.3703 0.1348 [12 per cell]

=====

Entry 6:
Here is a relaxed structure of NpAg2Pb2O6 from the Alexandria database. Energies are from PBE-GGA.

Properties
Uncorrected energy (eV/cell): -143.508

Unit cell a=6.532 b=11.008 c=6.414 alpha=90.00 beta=100.43 gamma=90.00
Space group C2/m (No. 12)
Asymmetric unit:
Np1 0.000 0.000 0.000 [2 per cell]
Ag1 0.000 0.145 0.500 [4 per cell]
Pb1 0.000 0.329 0.000 [4 per cell]
O1 0.115 0.152 0.826 [8 per cell]
O2 0.229 0.500 0.828 [4 per cell]

=====

Calculated volume / Å³/atom: 14.09; 13.32; 12.93; 15.38; 15.25; 20.62
Total magnetic moment / μB per atom: 0.383; 0.111; 0.166; 0.021; 0.000; 0.091
Formation energy without anion corrections / eV per atom: -1.548; -1.787; -2.046; -1.330; -1.388; -1.450